This record from Alexandria via LeMat-Bulk describes a relaxed structure of Pm2CrIrO8. The functional is GGA+U.

Lattice parameters (Å, degrees): 4.7087 4.9328 6.7097 90.21 90.23 93.62
Positions (direct):
Pm: 0.0868 0.0520 0.2453
Pm: 0.9132 0.9480 0.7547
Cr: 0.5000 0.5000 0.0000
Ir: 0.5000 0.5000 0.5000
O: 0.2030 0.2431 0.5480
O: 0.2154 0.2313 0.9525
O: 0.3021 0.6293 0.2513
O: 0.3741 0.7266 0.7406
O: 0.6259 0.2734 0.2594
O: 0.6979 0.3707 0.7487
O: 0.7846 0.7687 0.0475
O: 0.7970 0.7569 0.4520

Output
DOS(E_F) in states/eV/atom: 0.337
Space group: P-1 (2)
Total DFT energy (no corrections) in eV/cell: -88.3